Below is a geometry-optimized LaY3Ta structure, with properties calculated at the PBE-GGA level.

abc: 5.4121 5.4121 5.4121
angles: 90.00 90.00 90.00
Last column: nearest neighbours and their distance in Å.
Sites, in units of the cell vectors:
La 0.0000 0.0000 0.0000  6 Y 2.71
Y 0.0000 0.0000 0.5000  2 La 2.71
Y 0.0000 0.5000 0.0000  2 La 2.71
Y 0.5000 0.0000 0.0000  2 La 2.71
Ta 0.5000 0.5000 0.5000  12 Y 3.83

Properties
- Polymorph energy (0 for the lowest one): 981.8 meV/atom
- DFT formation energy: 144.68 kJ/mol of atoms
- Total magnetization: 0.0 Bohr magnetons per cell
- Calculated total energy: -5.735 eV/atom